Compound: Zr2AsPb
Source: the Alexandria database
Functional: PBE-GGA
Structure: relaxed

Cell: 3.9687 5.3775 8.2747 Å, 90.00 90.00 90.00°
Last column: nearest neighbours and their distance in Å.
Space group Immm (No. 71)
Unique sites:
Zr  0.0000  0.0000  0.2208 x4  2 As 2.70
As  0.0000  0.5000  0.5000 x2  4 Zr 2.70
Pb  0.0000  0.5000  0.0000 x2  8 Zr 3.05-3.25, 4 As 3.34

Properties
calculated volume	22.075	Å³/atom
total magnetization	0.00	μB/f.u.
E_tot	-6.817	eV per atom
density of states at the Fermi level	2.21	states/eV/f.u.
polymorph energy (0 for the lowest one)	184.8	meV per atom
DFT formation energy	-0.454	eV/atom